Entry 1:
VASP calculation (GGA-PBE) on a relaxed structure of ScMoPb2.

Lattice parameters (Å, degrees): 5.836 5.836 4.811 66.36 66.36 36.63
Element x y z (fractional)
Mo (0.758, 0.758, 0.756)
Pb (0.017, 0.017, 0.971)
Pb (0.247, 0.247, 0.262)
Sc (0.479, 0.479, 0.511)

Results
- E above lowest polymorph: 0.050 eV per atom
- Fermi-level density of states: 4.10 states/eV/cell
- M_tot: 0.00 μB/f.u.
- Crystal system: monoclinic
- Energy of formation from the pure elements: 0.2871 eV per atom
- Symmetry: Cm (8)

---

Entry 2:
VASP calculation (GGA-PBE) on a relaxed structure of ScMoPb2.

Lattice parameters (Å, degrees): 4.875 4.875 3.713 90.00 90.00 98.47
Element x y z (fractional)
Mo (0.000, 0.500, 0.500)
Pb (0.000, 0.000, 0.000)
Pb (0.500, 0.500, 0.000)
Sc (0.500, 0.000, 0.500)

Results
- E above lowest polymorph: 0.094 eV per atom
- Fermi-level density of states: 2.84 states/eV/cell
- M_tot: 0.00 μB/f.u.
- Crystal system: orthorhombic
- Energy of formation from the pure elements: 0.3310 eV per atom
- Symmetry: Cmmm (65)

---

Entry 3:
VASP calculation (GGA-PBE) on a relaxed structure of ScMo3Pb.

Lattice parameters (Å, degrees): 5.005 5.005 5.005 90.00 90.00 90.00
Element x y z (fractional)
Pb (0.000, 0.000, 0.000)
Sc (0.500, 0.500, 0.500)
Mo (0.000, 0.500, 0.000)
Mo (0.000, 0.000, 0.500)
Mo (0.500, 0.000, 0.000)

Results
- E above lowest polymorph: 0.349 eV per atom
- Fermi-level density of states: 7.31 states/eV/cell
- M_tot: 0.00 μB/f.u.
- Crystal system: cubic
- Energy of formation from the pure elements: 2.1580 eV per atom
- Symmetry: Pm-3m (221)